# 1
# Cd2CuSb

Cd2CuSb after structural relaxation (PBE, Alexandria).

## Properties
Formation energy (no corrections) in eV per atom: 0.190
Space-group type: I-4m2

Structure (POSCAR):
```
Cd2CuSb
1.0
4.4368 0.0000 0.0000
0.0000 4.4368 0.0000
0.0000 0.0000 8.6751
Cd Cu Sb
4 2 2
Direct
0.0000 0.0000 0.0000 Cd
0.0000 0.5000 0.2500 Cd
0.5000 0.0000 0.7500 Cd
0.5000 0.5000 0.5000 Cd
0.0000 0.5000 0.7500 Cu
0.5000 0.0000 0.2500 Cu
0.0000 0.0000 0.5000 Sb
0.5000 0.5000 0.0000 Sb
```


# 2
# Cd2CuSb

Cd2CuSb after structural relaxation (PBE, Alexandria).

## Properties
Formation energy (no corrections) in eV per atom: 0.169
Space-group type: Pmmm

Structure (POSCAR):
```
Cd2CuSb
1.0
3.9424 0.0000 0.0000
0.0000 4.0348 0.0000
0.0000 0.0000 5.5115
Cd Cu Sb
2 1 1
Direct
0.0000 0.0000 0.2436 Cd
0.0000 0.0000 0.7564 Cd
0.5000 0.5000 0.0000 Cu
0.5000 0.5000 0.5000 Sb
```


# 3
# Cd2CuSb2

Cd2CuSb2 after structural relaxation (PBE, Alexandria).

## Properties
Formation energy (no corrections) in eV per atom: 0.202
Space-group type: P4/mbm
E above lowest polymorph in meV per atom: 0

Structure (POSCAR):
```
Cd2CuSb2
1.0
7.3676 0.0000 0.0000
0.0000 7.3676 0.0000
0.0000 0.0000 4.6327
Cd Cu Sb
4 2 4
Direct
0.1441 0.3559 0.0000 Cd
0.3559 0.8559 0.0000 Cd
0.6441 0.1441 0.0000 Cd
0.8559 0.6441 0.0000 Cd
0.0000 0.0000 0.5000 Cu
0.5000 0.5000 0.5000 Cu
0.1743 0.6743 0.5000 Sb
0.3257 0.1743 0.5000 Sb
0.6743 0.8257 0.5000 Sb
0.8257 0.3257 0.5000 Sb
```


# 4
# CdCuSb2

CdCuSb2 after structural relaxation (PBE, Alexandria).

## Properties
Formation energy (no corrections) in eV per atom: 0.351
Space-group type: F-43m

Structure (POSCAR):
```
CdCuSb2
1.0
7.1888 0.0000 0.0000
0.0000 7.1888 0.0000
0.0000 0.0000 7.1888
Cd Cu Sb
4 4 8
Direct
0.0000 0.0000 0.0000 Cd
0.0000 0.5000 0.5000 Cd
0.5000 0.0000 0.5000 Cd
0.5000 0.5000 0.0000 Cd
0.2500 0.2500 0.2500 Cu
0.2500 0.7500 0.7500 Cu
0.7500 0.2500 0.7500 Cu
0.7500 0.7500 0.2500 Cu
0.0000 0.0000 0.5000 Sb
0.0000 0.5000 0.0000 Sb
0.2500 0.2500 0.7500 Sb
0.2500 0.7500 0.2500 Sb
0.5000 0.0000 0.0000 Sb
0.5000 0.5000 0.5000 Sb
0.7500 0.2500 0.2500 Sb
0.7500 0.7500 0.7500 Sb
```


# 5
# Cd2CuSb

Cd2CuSb after structural relaxation (PBE, Alexandria).

## Properties
Formation energy (no corrections) in eV per atom: 0.237
Space-group type: F-43m

Structure (POSCAR):
```
Cd2CuSb
1.0
7.0249 0.0000 0.0000
0.0000 7.0249 0.0000
0.0000 0.0000 7.0249
Cd Cu Sb
8 4 4
Direct
0.0000 0.0000 0.0000 Cd
0.0000 0.5000 0.5000 Cd
0.2500 0.2500 0.2500 Cd
0.2500 0.7500 0.7500 Cd
0.5000 0.0000 0.5000 Cd
0.5000 0.5000 0.0000 Cd
0.7500 0.2500 0.7500 Cd
0.7500 0.7500 0.2500 Cd
0.0000 0.0000 0.5000 Cu
0.0000 0.5000 0.0000 Cu
0.5000 0.0000 0.0000 Cu
0.5000 0.5000 0.5000 Cu
0.2500 0.2500 0.7500 Sb
0.2500 0.7500 0.2500 Sb
0.7500 0.2500 0.2500 Sb
0.7500 0.7500 0.7500 Sb
```


# 6
# CdCu2Sb

CdCu2Sb after structural relaxation (PBE, Alexandria).

## Properties
Formation energy (no corrections) in eV per atom: 0.146
Space-group type: Cm
E above lowest polymorph in meV per atom: 60

Structure (POSCAR):
```
CdCu2Sb
1.0
8.3465 0.0000 0.0000
0.0000 3.2690 0.0000
-1.0710 0.0000 5.6281
Cd Cu Sb
2 4 2
Direct
0.0000 0.0000 0.0000 Cd
0.5000 0.5000 0.0000 Cd
0.2465 0.5000 0.2495 Cu
0.4772 0.0000 0.3939 Cu
0.7465 0.0000 0.2495 Cu
0.9772 0.5000 0.3939 Cu
0.2229 0.0000 0.6281 Sb
0.7229 0.5000 0.6281 Sb
```


# 7
# CdCuSb2

CdCuSb2 after structural relaxation (PBE, Alexandria).

## Properties
Formation energy (no corrections) in eV per atom: 0.297
Space-group type: Cmmm

Structure (POSCAR):
```
CdCuSb2
1.0
6.5846 0.0000 0.0000
0.0000 8.4846 0.0000
0.0000 0.0000 3.2791
Cd Cu Sb
2 2 4
Direct
0.0000 0.0000 0.0000 Cd
0.5000 0.5000 0.0000 Cd
0.0000 0.5000 0.0000 Cu
0.5000 0.0000 0.0000 Cu
0.2500 0.2500 0.5000 Sb
0.2500 0.7500 0.5000 Sb
0.7500 0.2500 0.5000 Sb
0.7500 0.7500 0.5000 Sb
```


# 8
# CdCuSb2

CdCuSb2 after structural relaxation (PBE, Alexandria).

## Properties
Formation energy (no corrections) in eV per atom: 0.172
Space-group type: Pm

Structure (POSCAR):
```
CdCuSb2
1.0
4.6138 0.0000 0.0000
0.0000 4.1529 0.0000
-1.9343 0.0000 4.9863
Cd Cu Sb
1 1 2
Direct
0.0000 0.0000 0.0000 Cd
0.1795 0.5000 0.7479 Cu
0.4101 0.0000 0.5615 Sb
0.6500 0.5000 0.2515 Sb
```


# 9
# CdCuSb2

CdCuSb2 after structural relaxation (PBE, Alexandria).

## Properties
Formation energy (no corrections) in eV per atom: 0.160
Space-group type: Imm2

Structure (POSCAR):
```
CdCuSb2
1.0
3.7959 0.0000 0.0000
0.0000 4.0067 0.0000
0.0000 0.0000 12.5901
Cd Cu Sb
2 2 4
Direct
0.0000 0.0000 0.0000 Cd
0.5000 0.5000 0.5000 Cd
0.0000 0.5000 0.7153 Cu
0.5000 0.0000 0.2153 Cu
0.0000 0.0000 0.3744 Sb
0.0000 0.5000 0.1831 Sb
0.5000 0.0000 0.6831 Sb
0.5000 0.5000 0.8744 Sb
```


# 10
# Cd2CuSbSe4

Cd2CuSbSe4 after structural relaxation (PBE, Alexandria).

## Properties
Formation energy (no corrections) in eV per atom: -0.342
Space-group type: Fmm2

Structure (POSCAR):
```
Cd2CuSbSe4
1.0
0.0000 4.3643 6.0736
4.3564 0.0000 6.0736
4.3564 4.3643 0.0000
Cd Cu Sb Se
2 1 1 4
Direct
0.0000 0.0000 0.5000 Cd
0.5000 0.5000 0.0000 Cd
0.2503 0.2503 0.7497 Cu
0.7495 0.7495 0.2505 Sb
0.1454 0.5951 0.8546 Se
0.3539 0.9059 0.0941 Se
0.5951 0.1454 0.4049 Se
0.9059 0.3539 0.6461 Se
```


# 11
# SrCdCuSb2

SrCdCuSb2 after structural relaxation (PBE, Alexandria).

## Properties
Formation energy (no corrections) in eV per atom: 0.105
Space-group type: P4/mmm

Structure (POSCAR):
```
SrCdCuSb2
1.0
5.6011 0.0000 0.0000
0.0000 5.6011 0.0000
0.0000 0.0000 4.9247
Sr Cd Cu Sb
1 1 1 2
Direct
0.0000 0.0000 0.0000 Sr
0.5000 0.5000 0.5000 Cd
0.5000 0.5000 0.0000 Cu
0.0000 0.5000 0.5000 Sb
0.5000 0.0000 0.5000 Sb
```


# 12
# Sr2CdCu4Sb3

Sr2CdCu4Sb3 after structural relaxation (PBE, Alexandria).

## Properties
Formation energy (no corrections) in eV per atom: -0.410
Space-group type: P-4m2

Structure (POSCAR):
```
Sr2CdCu4Sb3
1.0
4.4680 0.0000 0.0000
0.0000 4.4680 0.0000
0.0000 0.0000 11.2020
Sr Cd Cu Sb
2 1 4 3
Direct
0.0000 0.5000 0.2396 Sr
0.5000 0.0000 0.7604 Sr
0.0000 0.0000 0.5000 Cd
0.0000 0.0000 0.0000 Cu
0.0000 0.5000 0.6391 Cu
0.5000 0.0000 0.3609 Cu
0.5000 0.5000 0.0000 Cu
0.0000 0.5000 0.8693 Sb
0.5000 0.0000 0.1307 Sb
0.5000 0.5000 0.5000 Sb
```


# 13
# Sr2CdCu3Sb4

Sr2CdCu3Sb4 after structural relaxation (PBE, Alexandria).

## Properties
Formation energy (no corrections) in eV per atom: -0.423
Space-group type: P-4m2

Structure (POSCAR):
```
Sr2CdCu3Sb4
1.0
4.6796 0.0000 0.0000
0.0000 4.6796 0.0000
0.0000 0.0000 11.2161
Sr Cd Cu Sb
2 1 3 4
Direct
0.0000 0.5000 0.2425 Sr
0.5000 0.0000 0.7575 Sr
0.0000 0.0000 0.5000 Cd
0.0000 0.5000 0.8771 Cu
0.5000 0.0000 0.1229 Cu
0.5000 0.5000 0.5000 Cu
0.0000 0.0000 0.0000 Sb
0.0000 0.5000 0.6469 Sb
0.5000 0.0000 0.3531 Sb
0.5000 0.5000 0.0000 Sb
```


# 14
# TlCd2CuSb

TlCd2CuSb after structural relaxation (PBE, Alexandria).

## Properties
Formation energy (no corrections) in eV per atom: 0.161
Space-group type: P4/mmm

Structure (POSCAR):
```
TlCd2CuSb
1.0
5.1282 0.0000 0.0000
0.0000 5.1282 0.0000
0.0000 0.0000 5.1160
Tl Cd Cu Sb
1 2 1 1
Direct
0.0000 0.0000 0.0000 Tl
0.0000 0.5000 0.5000 Cd
0.5000 0.0000 0.5000 Cd
0.5000 0.5000 0.5000 Cu
0.5000 0.5000 0.0000 Sb
```